PuZn3Au3 | GGA-PBE | optimized geometry

Unit cell a=6.600 b=4.561 c=9.271 alpha=90.00 beta=105.81 gamma=90.00
Space group P2_1/m (No. 11)
One atom of each set of equivalent atoms:
Pu (0.143, 0.250, 0.275) x2
Zn (0.168, 0.250, 0.905) x2
Zn (0.458, 0.750, 0.857) x2
Zn (0.493, 0.250, 0.688) x2
Au (0.079, 0.250, 0.610) x2
Au (0.235, 0.750, 0.051) x2
Au (0.355, 0.750, 0.551) x2

Calculated values
As for the formation enthalpy at 0 K: -293.5 meV per atom. Its crystal system is monoclinic. The value obtained for the spin magnetization is 11.3 Bohr magnetons per cell.